[1]
NbTlIn2Ge, relaxed, DFT GGA-PBEsol; calculated formation energy = 1.1399 eV per atom; calculated total energy = -3.731 eV/atom
1.0
-4.334 1.782 2.108
-2.752 -3.096 -3.041
0.220 -3.775 3.644
Ge Tl Nb In
1 1 1 2
direct
0.000 0.000 0.000 Ge
0.000 0.000 0.500 Tl
0.500 0.500 0.500 Nb
0.000 0.500 0.000 In
0.500 0.000 0.000 In

[2]
InNiGeS2, relaxed, DFT GGA-PBEsol; calculated total energy = -4.332 eV/atom; uncorrected formation energy = 0.24 eV per atom
1.0
-3.699 2.282 0.236
-2.051 -3.489 1.601
1.197 1.454 4.701
In Ge S Ni
1 1 2 1
direct
0.000 0.000 0.500 In
0.500 0.500 0.500 Ge
0.500 0.000 0.000 S
0.000 0.500 0.000 S
0.000 0.000 0.000 Ni

[3]
Tm4InNi2Ge4, relaxed, DFT GGA-PBEsol; calculated formation energy = -0.8372 eV per atom; calculated total energy = -5.805 eV/atom
1.0
-0.825 -0.186 -4.054
5.517 -3.988 -0.940
-5.551 -4.325 3.444
Tm In Ni Ge
4 1 2 4
direct
0.344 0.062 0.687 Tm
0.408 0.608 0.817 Tm
0.656 0.938 0.313 Tm
0.592 0.392 0.183 Tm
0.000 0.000 0.000 In
0.217 0.642 0.435 Ni
0.783 0.358 0.565 Ni
0.066 0.664 0.131 Ge
0.934 0.336 0.869 Ge
0.202 0.268 0.405 Ge
0.798 0.732 0.595 Ge

Q: What is the calculated total energy in the first record?
A: -3.731 eV/atom